(1)
# YHgRu2

A relaxed structure of YHgRu2 (GGA-PBEsol, Alexandria via LeMat-Bulk).

Unit cell a=3.4028 b=3.4028 c=6.1260 alpha=90.00 beta=90.00 gamma=90.00
Atoms (fractional coordinates):
Hg1 0.5000 0.5000 0.5000
Ru1 0.0000 0.0000 0.7288
Ru2 0.0000 0.0000 0.2712
Y1 0.5000 0.5000 0.0000

***

(2)
# YHg2Ru

A relaxed structure of YHg2Ru (GGA-PBEsol, Alexandria via LeMat-Bulk).

Results
ΔE to the lowest computed polymorph: 227 meV/atom

Unit cell a=4.8108 b=4.8108 c=4.8108 alpha=60.00 beta=60.00 gamma=60.00
Atoms (fractional coordinates):
Hg1 0.0000 0.0000 0.0000
Hg2 0.7500 0.7500 0.7500
Ru1 0.5000 0.5000 0.5000
Y1 0.2500 0.2500 0.2500

***

(3)
# Zn2HgRu

A relaxed structure of Zn2HgRu (GGA-PBEsol, Alexandria via LeMat-Bulk).

Unit cell a=2.8530 b=2.8530 c=8.9623 alpha=80.84 beta=80.84 gamma=60.00
Atoms (fractional coordinates):
Hg1 0.4989 0.4989 0.5034
Ru1 0.7435 0.7435 0.7694
Zn1 0.0016 0.0016 0.9951
Zn2 0.2560 0.2560 0.2320

***

(4)
# ZrHg2Ru

A relaxed structure of ZrHg2Ru (GGA-PBEsol, Alexandria via LeMat-Bulk).

Results
ΔE to the lowest computed polymorph: 0 meV/atom

Unit cell a=4.7038 b=4.7038 c=4.7038 alpha=60.00 beta=60.00 gamma=60.00
Atoms (fractional coordinates):
Hg1 0.0000 0.0000 0.0000
Hg2 0.7500 0.7500 0.7500
Ru1 0.5000 0.5000 0.5000
Zr1 0.2500 0.2500 0.2500

***

It is found that the formation enthalpy at 0 K values, taken in the order of the records, are 23.0; 2.1; 26.0; 8.7 kJ/mol of atoms.
It is found that the calculated volume values, taken in the order of the records, are 17.733; 19.683; 15.525; 18.398 Å³ per atom.